Material: Ti3NbRe2
Method: DFT, PBE
State: optimized geometry

## Properties
ΔH_f (0 K), eV/f.u.: -1.6
Symmetry: P4/mmm (123)

Cell: 3.120 3.120 9.854 Å, 90.00 90.00 90.00°
Positions (direct):
Re (0.500, 0.500, 0.839)
Re (0.500, 0.500, 0.161)
Ti (0.000, 0.000, 0.690)
Ti (0.000, 0.000, 0.000)
Ti (0.000, 0.000, 0.310)
Nb (0.500, 0.500, 0.500)


Material: TiNbRe
Method: DFT, PBE
State: optimized geometry

## Properties
ΔH_f (0 K), eV/f.u.: -0.8
Offset from the most stable computed form, eV per atom: 0.016
Symmetry: P3m1 (156)

Cell: 2.856 4.444 4.444 Å, 120.00 90.00 90.00°
Positions (direct):
Ti (0.677, 0.333, 0.667)
Nb (0.316, 0.667, 0.333)
Re (0.007, 0.000, 0.000)


Material: TiNb8Re2
Method: DFT, PBE
State: optimized geometry

## Properties
ΔH_f (0 K), eV/f.u.: 6.7
Symmetry: C2/m (12)

Cell: 4.342 7.250 7.250 Å, 80.87 80.28 80.28°
Positions (direct):
Nb (0.186, 0.853, 0.351)
Nb (0.135, 0.729, 0.729)
Nb (0.865, 0.271, 0.271)
Nb (0.718, 0.573, 0.573)
Nb (0.814, 0.147, 0.649)
Nb (0.282, 0.427, 0.427)
Nb (0.814, 0.649, 0.147)
Nb (0.186, 0.351, 0.853)
Re (0.430, 0.134, 0.134)
Re (0.570, 0.866, 0.866)
Ti (0.000, 0.000, 0.000)


Material: TiNbRe
Method: DFT, PBE
State: optimized geometry

## Properties
ΔH_f (0 K), eV/f.u.: -0.8
Offset from the most stable computed form, eV per atom: 0.000
Symmetry: I4mm (107)

Cell: 3.173 3.173 5.358 Å, 72.78 72.78 90.00°
Positions (direct):
Ti (0.712, 0.281, 0.053)
Nb (0.394, 0.963, 0.688)
Re (0.054, 0.623, 0.369)


Material: Ti2NbRe2
Method: DFT, PBE
State: optimized geometry

## Properties
ΔH_f (0 K), eV/f.u.: 0.5
Offset from the most stable computed form, eV per atom: 0.421
Symmetry: P4/mbm (127)

Cell: 7.218 7.218 3.213 Å, 90.00 90.00 90.00°
Positions (direct):
Re (0.648, 0.148, 0.000)
Re (0.352, 0.852, 0.000)
Re (0.148, 0.352, 0.000)
Re (0.852, 0.648, 0.000)
Ti (0.152, 0.652, 0.500)
Ti (0.848, 0.348, 0.500)
Ti (0.348, 0.152, 0.500)
Ti (0.652, 0.848, 0.500)
Nb (0.500, 0.500, 0.000)
Nb (0.000, 0.000, 0.000)


Material: Ti3NbRe3
Method: DFT, PBE
State: optimized geometry

## Properties
ΔH_f (0 K), eV/f.u.: 0.7
Symmetry: C2/m (12)

Cell: 6.167 6.167 6.111 Å, 88.63 88.63 89.75°
Positions (direct):
Re (0.756, 0.756, 0.504)
Re (0.698, 0.302, 0.500)
Re (0.244, 0.244, 0.496)
Re (0.748, 0.252, 0.000)
Re (0.252, 0.748, 0.000)
Re (0.302, 0.698, 0.500)
Ti (0.010, 0.503, 0.259)
Ti (0.503, 0.010, 0.259)
Ti (0.995, 0.995, 0.746)
Ti (0.497, 0.990, 0.741)
Ti (0.990, 0.497, 0.741)
Ti (0.005, 0.005, 0.254)
Nb (0.682, 0.682, 0.043)
Nb (0.318, 0.318, 0.957)


Q: Among the records above, which one has the lowest ΔH_f (0 K)?
A: Ti3NbRe2


Q: What is the ΔH_f (0 K) in the second record?
A: -0.8 eV/f.u.


Q: ΔH_f (0 K) of number 5 (Ti2NbRe2)?
A: 0.5 eV/f.u.